TlInCoHg2: optimized geometry, PBE.

Cell lengths 5.508, 5.911, 5.508 Å; angles 90.00, 90.00, 90.00 degrees
Positions (direct):
Tl 0.000 0.500 0.000
Co 0.500 0.500 0.500
In 0.000 0.000 0.000
Hg 0.500 0.000 0.000
Hg 0.000 0.000 0.500

Values from the calculation:
Electronic total energy ... -1.597 eV per atom
Mass density ... 7.2 Mg/m³
Formation energy from the elements ... 966 meV/atom
Magnetization ... 2.16 μB/f.u.
Density of states at the Fermi level ... 10.57 states/eV per cell

---

TlIn2CoHg: optimized geometry, PBE.

Cell lengths 4.972, 4.972, 5.170 Å; angles 90.00, 90.00, 90.00 degrees
Positions (direct):
In 0.000 0.500 0.000
In 0.500 0.000 0.000
Co 0.000 0.000 0.000
Hg 0.000 0.000 0.500
Tl 0.500 0.500 0.500

Values from the calculation:
Electronic total energy ... -2.958 eV per atom
Mass density ... 9.0 Mg/m³
Formation energy from the elements ... 92 meV/atom
Magnetization ... 0.00 μB/f.u.
Density of states at the Fermi level ... 2.43 states/eV per cell
Distance to the lowest polymorph of the same formula ... 0.228 eV per formula unit

---

TlIn2CoHg: optimized geometry, PBE.

Cell lengths 5.015, 5.015, 5.102 Å; angles 90.00, 90.00, 90.00 degrees
Positions (direct):
Tl 0.000 0.000 0.500
Hg 0.500 0.500 0.500
In 0.000 0.500 0.000
In 0.500 0.000 0.000
Co 0.000 0.000 0.000

Values from the calculation:
Electronic total energy ... -3.004 eV per atom
Mass density ... 9.0 Mg/m³
Formation energy from the elements ... 46 meV/atom
Magnetization ... 0.00 μB/f.u.
Density of states at the Fermi level ... 1.80 states/eV per cell
Distance to the lowest polymorph of the same formula ... 0.000 eV per formula unit

---

YIn2CoHg: optimized geometry, PBE.

Cell lengths 4.966, 4.966, 5.003 Å; angles 90.00, 90.00, 90.00 degrees
Positions (direct):
In 0.500 0.000 0.000
In 0.000 0.500 0.000
Hg 0.500 0.500 0.500
Co 0.000 0.000 0.000
Y 0.000 0.000 0.500

Values from the calculation:
Electronic total energy ... -4.046 eV per atom
Mass density ... 7.8 Mg/m³
Formation energy from the elements ... -177 meV/atom
Magnetization ... 0.00 μB/f.u.
Density of states at the Fermi level ... 2.86 states/eV per cell

---

Y3In3CoHg2: optimized geometry, PBE.

Cell lengths 4.086, 7.699, 7.699 Å; angles 120.00, 90.00, 90.00 degrees
Positions (direct):
In 0.500 0.762 0.000
In 0.500 0.000 0.762
In 0.500 0.238 0.238
Y 0.000 0.611 0.611
Y 0.000 0.000 0.389
Y 0.000 0.389 0.000
Hg 0.500 0.667 0.333
Hg 0.500 0.333 0.667
Co 0.000 0.000 0.000

Values from the calculation:
Electronic total energy ... -4.364 eV per atom
Mass density ... 8.5 Mg/m³
Formation energy from the elements ... -440 meV/atom
Magnetization ... 0.00 μB/f.u.
Density of states at the Fermi level ... 6.75 states/eV per cell

---

Co2HgIr: optimized geometry, PBE.

Cell lengths 5.148, 5.148, 5.148 Å; angles 146.14, 127.69, 63.78 degrees
Positions (direct):
Co 0.489 0.489 0.000
Co 0.011 0.011 0.000
Hg 0.750 0.250 0.500
Ir 0.250 0.750 0.500

Values from the calculation:
Electronic total energy ... -5.321 eV per atom
Mass density ... 14.3 Mg/m³
Formation energy from the elements ... 523 meV/atom
Magnetization ... 4.23 μB/f.u.
Density of states at the Fermi level ... 5.08 states/eV per cell

---

Co2HgIr: optimized geometry, PBE.

Cell lengths 2.759, 2.759, 7.425 Å; angles 90.00, 90.00, 90.00 degrees
Positions (direct):
Co 0.000 0.000 0.974
Co 0.000 0.000 0.526
Ir 0.500 0.500 0.750
Hg 0.500 0.500 0.250

Values from the calculation:
Electronic total energy ... -5.546 eV per atom
Mass density ... 15.0 Mg/m³
Formation energy from the elements ... 298 meV/atom
Magnetization ... 2.08 μB/f.u.
Density of states at the Fermi level ... 5.56 states/eV per cell

---

Co2HgIr: optimized geometry, PBE.

Cell lengths 4.611, 4.611, 4.611 Å; angles 129.22, 129.22, 74.65 degrees
Positions (direct):
Co 0.000 0.000 0.000
Co 0.500 0.500 0.000
Hg 0.250 0.750 0.500
Ir 0.750 0.250 0.500

Values from the calculation:
Electronic total energy ... -5.408 eV per atom
Mass density ... 14.8 Mg/m³
Formation energy from the elements ... 436 meV/atom
Magnetization ... 4.07 μB/f.u.
Density of states at the Fermi level ... 7.07 states/eV per cell

---

Co2HgIr: optimized geometry, PBE.

Cell lengths 6.966, 6.966, 5.610 Å; angles 51.62, 51.62, 90.00 degrees
Positions (direct):
Hg 0.750 0.250 0.500
Hg 0.000 0.000 0.000
Co 0.162 0.625 0.250
Co 0.375 0.412 0.750
Co 0.875 0.838 0.750
Co 0.588 0.125 0.250
Ir 0.500 0.500 0.000
Ir 0.250 0.750 0.500

Values from the calculation:
Electronic total energy ... -5.121 eV per atom
Mass density ... 13.0 Mg/m³
Formation energy from the elements ... 722 meV/atom
Magnetization ... 4.59 μB/f.u.
Density of states at the Fermi level ... 16.11 states/eV per cell

---

CoHgIr2: optimized geometry, PBE.

Cell lengths 3.679, 2.762, 6.699 Å; angles 65.58, 90.00, 90.00 degrees
Positions (direct):
Co 0.000 0.538 0.463
Hg 0.500 0.763 0.736
Ir 0.500 0.239 0.261
Ir 0.000 0.960 0.040

Values from the calculation:
Electronic total energy ... -5.928 eV per atom
Mass density ... 17.3 Mg/m³
Formation energy from the elements ... 355 meV/atom
Magnetization ... 1.51 μB/f.u.
Density of states at the Fermi level ... 5.68 states/eV per cell

---

CoHg4Ir: optimized geometry, PBE.

Cell lengths 5.571, 5.571, 5.571 Å; angles 60.00, 60.00, 60.00 degrees
Positions (direct):
Hg 0.375 0.875 0.375
Hg 0.875 0.375 0.375
Hg 0.375 0.375 0.875
Hg 0.375 0.375 0.375
Ir 0.750 0.750 0.750
Co 0.000 0.000 0.000

Values from the calculation:
Electronic total energy ... -1.863 eV per atom
Mass density ... 14.3 Mg/m³
Formation energy from the elements ... 999 meV/atom
Magnetization ... 2.28 μB/f.u.
Density of states at the Fermi level ... 6.99 states/eV per cell

---

CoHgIr2: optimized geometry, PBE.

Cell lengths 7.226, 7.226, 5.715 Å; angles 50.79, 50.79, 90.00 degrees
Positions (direct):
Ir 0.176 0.625 0.250
Ir 0.574 0.125 0.250
Ir 0.875 0.824 0.750
Ir 0.375 0.426 0.750
Hg 0.000 0.000 0.000
Hg 0.750 0.250 0.500
Co 0.500 0.500 0.000
Co 0.250 0.750 0.500

Values from the calculation:
Electronic total energy ... -5.548 eV per atom
Mass density ... 16.0 Mg/m³
Formation energy from the elements ... 734 meV/atom
Magnetization ... 2.84 μB/f.u.
Density of states at the Fermi level ... 9.07 states/eV per cell